PBE YBeSb2, relaxed; space-group type = Pm; N(E_F) = 0.64 states/eV per atom; ΔE_f (raw) = -290 meV per atom; spin magnetization = 0.00 μB/f.u.
1.0
4.1370 0.0000 0.0000
0.0000 4.0685 -0.0023
0.0000 2.0076 5.9615
Y Sb Be
1 2 1
direct
0.0000 0.5600 0.5049 Y
0.0000 0.8374 0.9478 Sb
0.5000 0.1525 0.3196 Sb
0.5000 0.9500 0.7278 Be

PBE CsBi3Pt2, relaxed; excess energy over the best structure of this formula in the dataset = 13 meV/atom; formation enthalpy at 0 K = -20.5 kJ/mol of atoms; space-group type = C2/m; N(E_F) = 0.39 states/eV per atom; spin magnetization = 0.00 μB/f.u.
1.0
4.7776 0.0000 0.0000
-2.3888 8.4788 -0.2785
0.0000 -4.1443 10.4384
Cs Bi Pt
2 6 4
direct
0.8678 0.7356 0.9288 Cs
0.1322 0.2644 0.0712 Cs
0.2675 0.5349 0.6016 Bi
0.9494 0.8988 0.6183 Bi
0.6176 0.2352 0.7780 Bi
0.3824 0.7648 0.2220 Bi
0.0506 0.1012 0.3817 Bi
0.7325 0.4651 0.3984 Bi
0.4457 0.8915 0.7353 Pt
0.5543 0.1085 0.2647 Pt
0.8782 0.7565 0.3425 Pt
0.1218 0.2435 0.6575 Pt

PBE Rb5Na4Hg2, relaxed; formation enthalpy at 0 K = -6.2 kJ/mol of atoms; space-group type = P2/m; N(E_F) = 0.47 states/eV per atom; spin magnetization = 0.00 μB/f.u.
1.0
4.8114 0.0000 0.0000
0.0000 9.5917 -2.3468
0.0000 -1.0228 13.9568
Rb Na Hg
5 4 2
direct
0.0000 0.5058 0.3474 Rb
0.0000 0.0461 0.1704 Rb
0.0000 0.5000 0.0000 Rb
0.0000 0.9539 0.8296 Rb
0.0000 0.4942 0.6526 Rb
0.5000 0.8545 0.5452 Na
0.5000 0.2316 0.7502 Na
0.5000 0.1455 0.4548 Na
0.5000 0.7684 0.2498 Na
0.0000 0.0975 0.6090 Hg
0.0000 0.9025 0.3910 Hg

PBE ZnCo2NiB, relaxed; formation enthalpy at 0 K = -5.1 kJ/mol of atoms; space-group type = P4/mmm; N(E_F) = 1.01 states/eV per atom; spin magnetization = 1.02 μB/f.u.
1.0
-0.0492 -1.8203 3.3316
-0.5181 -3.2975 -1.8093
3.7678 -0.4790 -0.2061
Ni Zn B Co
1 1 1 2
direct
0.0000 0.0000 0.5000 Ni
0.5000 0.5000 0.5000 Zn
0.0000 0.0000 0.0000 B
0.0000 0.5000 0.0000 Co
0.5000 0.0000 0.0000 Co

PBE CaMg5Pt6, relaxed; formation enthalpy at 0 K = -80.3 kJ/mol of atoms; space-group type = P2/m; N(E_F) = 0.22 states/eV per atom; spin magnetization = 0.00 μB/f.u.
1.0
4.2325 0.0017 -0.8797
-0.0030 7.1220 -0.0007
-0.7870 0.0004 6.8012
Ca Mg Pt
1 5 6
direct
0.0000 0.0000 0.0000 Ca
0.6665 0.5000 0.3324 Mg
0.3286 0.0000 0.6581 Mg
0.0000 0.5000 0.0000 Mg
0.6714 0.0000 0.3419 Mg
0.3335 0.5000 0.6676 Mg
0.8293 0.7406 0.6590 Pt
0.8293 0.2594 0.6590 Pt
0.5000 0.2664 0.0000 Pt
0.5000 0.7336 0.0000 Pt
0.1707 0.7406 0.3410 Pt
0.1707 0.2594 0.3410 Pt

PBE Zr3Cu, relaxed; formation enthalpy at 0 K = 2.9 kJ/mol of atoms; space-group type = I4/mmm; N(E_F) = 1.15 states/eV per atom; spin magnetization = 0.00 μB/f.u.
1.0
-4.0061 -0.4334 -1.3301
2.7118 -4.6657 0.1213
-0.8809 -2.3527 3.4198
Cu Zr
1 3
direct
0.0000 0.0000 0.0000 Cu
0.2500 0.5000 0.2500 Zr
0.5000 0.0000 0.5000 Zr
0.7500 0.5000 0.7500 Zr

PBE CePmTeN2, relaxed; space-group type = I4mm; N(E_F) = 0.92 states/eV per atom; ΔE_f (raw) = -1288 meV per atom; spin magnetization = 0.00 μB/f.u.
1.0
-2.3298 2.9031 1.5097
-2.7309 -0.7041 -2.8604
-0.5119 -5.6317 4.6955
Ce Pm Te N
1 1 1 2
direct
0.1709 0.1709 0.3417 Ce
0.8355 0.8355 0.6709 Pm
0.5026 0.5026 0.0053 Te
0.7455 0.2455 0.4910 N
0.2455 0.7455 0.4910 N

PBE Ba2NaSrCu, relaxed; excess energy over the best structure of this formula in the dataset = 84 meV/atom; formation enthalpy at 0 K = 9.1 kJ/mol of atoms; space-group type = P4/mmm; N(E_F) = 0.89 states/eV per atom; spin magnetization = 0.00 μB/f.u.
1.0
6.3590 0.0000 0.0000
0.0000 6.3590 0.0000
0.0000 0.0000 5.9227
Sr Ba Cu Na
1 2 1 1
direct
0.5000 0.5000 0.5000 Sr
0.0000 0.5000 0.0000 Ba
0.5000 0.0000 0.0000 Ba
0.0000 0.0000 0.0000 Cu
0.0000 0.0000 0.5000 Na